# 1
This record from the Alexandria database describes crystalline CaY2CrN4 at its relaxed geometry. The functional is GGA-PBE.

The structure in CIF format:
```
data_CaY2CrN4
_chemical_formula_sum 'Ca2 Y4 Cr2 N8'
_symmetry_space_group_name_H-M 'P 1'
_symmetry_Int_Tables_number 1
_symmetry_space_group_name_Hall 'P 1'
_cell_length_a 3.404
_cell_length_b 6.072
_cell_length_c 11.728
_cell_angle_alpha 90.00
_cell_angle_beta 90.00
_cell_angle_gamma 106.28
loop_
_atom_site_label
_atom_site_type_symbol
_atom_site_fract_x
_atom_site_fract_y
_atom_site_fract_z
_atom_site_occupancy
Ca1 Ca 0.098 0.195 0.750 1
Ca2 Ca 0.902 0.805 0.250 1
Cr1 Cr 0.172 0.343 0.250 1
Cr2 Cr 0.828 0.657 0.750 1
N1 N 0.738 0.476 0.626 1
N2 N 0.000 0.000 0.500 1
N3 N 0.411 0.822 0.750 1
N4 N 0.589 0.178 0.250 1
N5 N 0.000 0.000 0.000 1
N6 N 0.262 0.524 0.374 1
N7 N 0.738 0.476 0.874 1
N8 N 0.262 0.524 0.126 1
Y1 Y 0.630 0.260 0.459 1
Y2 Y 0.630 0.260 0.041 1
Y3 Y 0.370 0.740 0.541 1
Y4 Y 0.370 0.740 0.959 1
```

uncorrected formation energy: -1.1605 eV per atom
SG: Cmcm, No. 63

# 2
This record from the Alexandria database describes crystalline BaLi3Tl4 at its relaxed geometry. The functional is GGA-PBE.

The structure in CIF format:
```
data_BaLi3Tl4
_chemical_formula_sum 'Ba1 Li3 Tl4'
_symmetry_space_group_name_H-M 'P 1'
_symmetry_Int_Tables_number 1
_symmetry_space_group_name_Hall 'P 1'
_cell_length_a 4.867
_cell_length_b 4.867
_cell_length_c 10.812
_cell_angle_alpha 76.99
_cell_angle_beta 76.99
_cell_angle_gamma 60.00
loop_
_atom_site_label
_atom_site_type_symbol
_atom_site_fract_x
_atom_site_fract_y
_atom_site_fract_z
_atom_site_occupancy
Li1 Li 0.225 0.225 0.326 1
Li2 Li 0.500 0.500 0.500 1
Li3 Li 0.775 0.775 0.674 1
Tl1 Tl 0.595 0.595 0.215 1
Tl2 Tl 0.126 0.126 0.621 1
Tl3 Tl 0.405 0.405 0.785 1
Tl4 Tl 0.874 0.874 0.379 1
Ba1 Ba 0.000 0.000 0.000 1
```

formation energy from the elements: -0.2718 eV/atom
SG: R-3m, No. 166

# 3
This record from the Alexandria database describes crystalline BaSr2Li9 at its relaxed geometry. The functional is GGA-PBE.

The structure in CIF format:
```
data_BaSr2Li9
_chemical_formula_sum 'Ba1 Sr2 Li9'
_symmetry_space_group_name_H-M 'P 1'
_symmetry_Int_Tables_number 1
_symmetry_space_group_name_Hall 'P 1'
_cell_length_a 6.475
_cell_length_b 6.475
_cell_length_c 10.656
_cell_angle_alpha 72.31
_cell_angle_beta 72.31
_cell_angle_gamma 60.00
loop_
_atom_site_label
_atom_site_type_symbol
_atom_site_fract_x
_atom_site_fract_y
_atom_site_fract_z
_atom_site_occupancy
Li1 Li 0.668 0.668 0.995 1
Li2 Li 0.500 0.500 0.500 1
Li3 Li 0.420 0.915 0.244 1
Li4 Li 0.085 0.580 0.756 1
Li5 Li 0.420 0.420 0.244 1
Li6 Li 0.915 0.420 0.244 1
Li7 Li 0.580 0.580 0.756 1
Li8 Li 0.580 0.085 0.756 1
Li9 Li 0.332 0.332 0.005 1
Ba1 Ba 0.000 0.000 0.000 1
Sr1 Sr 0.858 0.858 0.426 1
Sr2 Sr 0.142 0.142 0.574 1
```

formation energy from the elements: 0.0159 eV/atom
SG: R-3m, No. 166

# 4
This record from the Alexandria database describes crystalline Ac2MnZn2Pt5 at its relaxed geometry. The functional is GGA-PBE.

The structure in CIF format:
```
data_Ac2MnZn2Pt5
_chemical_formula_sum 'Ac4 Mn2 Zn4 Pt10'
_symmetry_space_group_name_H-M 'P 1'
_symmetry_Int_Tables_number 1
_symmetry_space_group_name_Hall 'P 1'
_cell_length_a 3.809
_cell_length_b 10.113
_cell_length_c 10.113
_cell_angle_alpha 90.00
_cell_angle_beta 90.00
_cell_angle_gamma 90.00
loop_
_atom_site_label
_atom_site_type_symbol
_atom_site_fract_x
_atom_site_fract_y
_atom_site_fract_z
_atom_site_occupancy
Pt1 Pt 0.500 0.442 0.298 1
Pt2 Pt 0.500 0.500 0.000 1
Pt3 Pt 0.500 0.058 0.798 1
Pt4 Pt 0.500 0.558 0.702 1
Pt5 Pt 0.500 0.298 0.558 1
Pt6 Pt 0.500 0.000 0.500 1
Pt7 Pt 0.500 0.702 0.442 1
Pt8 Pt 0.500 0.798 0.942 1
Pt9 Pt 0.500 0.202 0.058 1
Pt10 Pt 0.500 0.942 0.202 1
Ac1 Ac 0.000 0.180 0.320 1
Ac2 Ac 0.000 0.820 0.680 1
Ac3 Ac 0.000 0.320 0.820 1
Ac4 Ac 0.000 0.680 0.180 1
Zn1 Zn 0.000 0.881 0.381 1
Zn2 Zn 0.000 0.381 0.119 1
Zn3 Zn 0.000 0.119 0.619 1
Zn4 Zn 0.000 0.619 0.881 1
Mn1 Mn 0.000 0.000 0.000 1
Mn2 Mn 0.000 0.500 0.500 1
```

formation energy from the elements: -0.6547 eV/atom
SG: P4/mbm, No. 127

# 5
This record from the Alexandria database describes crystalline K4SiSe4 at its relaxed geometry. The functional is GGA-PBE.

The structure in CIF format:
```
data_K4SiSe4
_chemical_formula_sum 'K8 Si2 Se8'
_symmetry_space_group_name_H-M 'P 1'
_symmetry_Int_Tables_number 1
_symmetry_space_group_name_Hall 'P 1'
_cell_length_a 7.061
_cell_length_b 9.191
_cell_length_c 9.191
_cell_angle_alpha 90.00
_cell_angle_beta 90.00
_cell_angle_gamma 90.00
loop_
_atom_site_label
_atom_site_type_symbol
_atom_site_fract_x
_atom_site_fract_y
_atom_site_fract_z
_atom_site_occupancy
K1 K 0.158 0.771 0.500 1
K2 K 0.158 0.229 0.500 1
K3 K 0.842 0.500 0.771 1
K4 K 0.842 0.500 0.229 1
K5 K 0.342 0.271 0.000 1
K6 K 0.658 0.000 0.271 1
K7 K 0.658 0.000 0.729 1
K8 K 0.342 0.729 0.000 1
Se1 Se 0.682 0.291 0.500 1
Se2 Se 0.818 0.209 0.000 1
Se3 Se 0.318 0.500 0.291 1
Se4 Se 0.318 0.500 0.709 1
Se5 Se 0.682 0.709 0.500 1
Se6 Se 0.818 0.791 0.000 1
Se7 Se 0.182 0.000 0.791 1
Se8 Se 0.182 0.000 0.209 1
Si1 Si 0.500 0.500 0.500 1
Si2 Si 0.000 0.000 0.000 1
```

uncorrected formation energy: -1.0775 eV per atom
SG: P4_2/nmc, No. 137

# 6
This record from the Alexandria database describes crystalline EuHfZn2 at its relaxed geometry. The functional is GGA-PBE.

The structure in CIF format:
```
data_EuHfZn2
_chemical_formula_sum 'Eu1 Hf1 Zn2'
_symmetry_space_group_name_H-M 'P 1'
_symmetry_Int_Tables_number 1
_symmetry_space_group_name_Hall 'P 1'
_cell_length_a 3.432
_cell_length_b 3.432
_cell_length_c 7.307
_cell_angle_alpha 90.00
_cell_angle_beta 90.00
_cell_angle_gamma 90.00
loop_
_atom_site_label
_atom_site_type_symbol
_atom_site_fract_x
_atom_site_fract_y
_atom_site_fract_z
_atom_site_occupancy
Eu1 Eu 0.500 0.500 0.500 1
Hf1 Hf 0.500 0.500 0.000 1
Zn1 Zn 0.000 0.000 0.206 1
Zn2 Zn 0.000 0.000 0.794 1
```

formation energy from the elements: -0.1601 eV/atom
SG: P4/mmm, No. 123
ΔE to the lowest computed polymorph: 0.000 eV/atom

# 7
This record from the Alexandria database describes crystalline LaNd8Y5 at its relaxed geometry. The functional is GGA-PBE.

The structure in CIF format:
```
data_LaNd8Y5
_chemical_formula_sum 'La1 Nd8 Y5'
_symmetry_space_group_name_H-M 'P 1'
_symmetry_Int_Tables_number 1
_symmetry_space_group_name_Hall 'P 1'
_cell_length_a 8.638
_cell_length_b 8.638
_cell_length_c 8.638
_cell_angle_alpha 111.89
_cell_angle_beta 104.74
_cell_angle_gamma 111.89
loop_
_atom_site_label
_atom_site_type_symbol
_atom_site_fract_x
_atom_site_fract_y
_atom_site_fract_z
_atom_site_occupancy
Nd1 Nd 0.161 0.732 0.072 1
Nd2 Nd 0.340 0.268 0.430 1
Nd3 Nd 0.534 0.604 0.278 1
Nd4 Nd 0.069 0.744 0.466 1
Nd5 Nd 0.928 0.090 0.660 1
Nd6 Nd 0.722 0.256 0.326 1
Nd7 Nd 0.570 0.910 0.839 1
Nd8 Nd 0.674 0.396 0.931 1
Y1 Y 0.500 0.000 0.500 1
Y2 Y 0.041 0.317 0.132 1
Y3 Y 0.815 0.683 0.724 1
Y4 Y 0.868 0.909 0.185 1
Y5 Y 0.276 0.091 0.959 1
La1 La 0.250 0.500 0.750 1
```

formation energy from the elements: 0.2309 eV/atom
SG: I-4, No. 82

# 8
This record from the Alexandria database describes crystalline YCoSb3 at its relaxed geometry. The functional is GGA-PBE.

The structure in CIF format:
```
data_YCoSb3
_chemical_formula_sum 'Y1 Co1 Sb3'
_symmetry_space_group_name_H-M 'P 1'
_symmetry_Int_Tables_number 1
_symmetry_space_group_name_Hall 'P 1'
_cell_length_a 5.024
_cell_length_b 5.024
_cell_length_c 5.024
_cell_angle_alpha 90.00
_cell_angle_beta 90.00
_cell_angle_gamma 90.00
loop_
_atom_site_label
_atom_site_type_symbol
_atom_site_fract_x
_atom_site_fract_y
_atom_site_fract_z
_atom_site_occupancy
Sb1 Sb 0.500 0.000 0.000 1
Sb2 Sb 0.000 0.500 0.000 1
Sb3 Sb 0.000 0.000 0.500 1
Co1 Co 0.000 0.000 0.000 1
Y1 Y 0.500 0.500 0.500 1
```

uncorrected formation energy: 0.0038 eV per atom
SG: Pm-3m, No. 221

# 9
This record from the Alexandria database describes crystalline NaAgF4 at its relaxed geometry. The functional is GGA-PBE.

The structure in CIF format:
```
data_NaAgF4
_chemical_formula_sum 'Na2 Ag2 F8'
_symmetry_space_group_name_H-M 'P 1'
_symmetry_Int_Tables_number 1
_symmetry_space_group_name_Hall 'P 1'
_cell_length_a 5.138
_cell_length_b 5.592
_cell_length_c 6.263
_cell_angle_alpha 90.00
_cell_angle_beta 90.00
_cell_angle_gamma 90.00
loop_
_atom_site_label
_atom_site_type_symbol
_atom_site_fract_x
_atom_site_fract_y
_atom_site_fract_z
_atom_site_occupancy
F1 F 0.256 0.864 0.614 1
F2 F 0.756 0.136 0.114 1
F3 F 0.744 0.136 0.614 1
F4 F 0.809 0.690 0.872 1
F5 F 0.309 0.310 0.372 1
F6 F 0.191 0.310 0.872 1
F7 F 0.691 0.690 0.372 1
F8 F 0.244 0.864 0.114 1
Ag1 Ag 0.000 0.000 0.859 1
Ag2 Ag 0.500 0.000 0.359 1
Na1 Na 0.500 0.500 0.670 1
Na2 Na 0.000 0.500 0.170 1
```

uncorrected formation energy: -1.6266 eV per atom
SG: Pnc2, No. 30

# 10
This record from the Alexandria database describes crystalline KRb2SrCl5 at its relaxed geometry. The functional is GGA-PBE.

The structure in CIF format:
```
data_KRb2SrCl5
_chemical_formula_sum 'K1 Rb2 Sr1 Cl5'
_symmetry_space_group_name_H-M 'P 1'
_symmetry_Int_Tables_number 1
_symmetry_space_group_name_Hall 'P 1'
_cell_length_a 5.522
_cell_length_b 7.821
_cell_length_c 9.359
_cell_angle_alpha 114.70
_cell_angle_beta 107.16
_cell_angle_gamma 90.00
loop_
_atom_site_label
_atom_site_type_symbol
_atom_site_fract_x
_atom_site_fract_y
_atom_site_fract_z
_atom_site_occupancy
Cl1 Cl 0.630 0.383 0.260 1
Cl2 Cl 0.370 0.122 0.740 1
Cl3 Cl 0.000 0.000 0.000 1
Cl4 Cl 0.630 0.878 0.260 1
Cl5 Cl 0.370 0.617 0.740 1
Rb1 Rb 0.208 0.208 0.416 1
Rb2 Rb 0.792 0.792 0.584 1
Sr1 Sr 0.500 0.000 0.000 1
K1 K 0.000 0.500 0.000 1
```

uncorrected formation energy: -2.0555 eV per atom
SG: Immm, No. 71

# 11
This record from the Alexandria database describes crystalline LiYEr2Te4 at its relaxed geometry. The functional is GGA-PBE.

The structure in CIF format:
```
data_LiYEr2Te4
_chemical_formula_sum 'Li1 Y1 Er2 Te4'
_symmetry_space_group_name_H-M 'P 1'
_symmetry_Int_Tables_number 1
_symmetry_space_group_name_Hall 'P 1'
_cell_length_a 4.298
_cell_length_b 7.500
_cell_length_c 7.484
_cell_angle_alpha 109.16
_cell_angle_beta 90.00
_cell_angle_gamma 90.00
loop_
_atom_site_label
_atom_site_type_symbol
_atom_site_fract_x
_atom_site_fract_y
_atom_site_fract_z
_atom_site_occupancy
Te1 Te 0.000 0.757 0.248 1
Te2 Te 0.000 0.243 0.752 1
Te3 Te 0.500 0.243 0.245 1
Te4 Te 0.500 0.757 0.755 1
Li1 Li 0.000 0.000 0.000 1
Y1 Y 0.500 0.500 0.000 1
Er1 Er 0.500 0.000 0.500 1
Er2 Er 0.000 0.500 0.500 1
```

uncorrected formation energy: -1.2886 eV per atom
SG: P2/m, No. 10

# 12
This record from the Alexandria database describes crystalline CeThBiSe at its relaxed geometry. The functional is GGA-PBE.

The structure in CIF format:
```
data_CeThBiSe
_chemical_formula_sum 'Ce1 Th1 Bi1 Se1'
_symmetry_space_group_name_H-M 'P 1'
_symmetry_Int_Tables_number 1
_symmetry_space_group_name_Hall 'P 1'
_cell_length_a 4.397
_cell_length_b 4.397
_cell_length_c 6.287
_cell_angle_alpha 90.00
_cell_angle_beta 90.00
_cell_angle_gamma 90.00
loop_
_atom_site_label
_atom_site_type_symbol
_atom_site_fract_x
_atom_site_fract_y
_atom_site_fract_z
_atom_site_occupancy
Se1 Se 0.000 0.000 0.000 1
Bi1 Bi 0.500 0.500 0.500 1
Ce1 Ce 0.000 0.000 0.500 1
Th1 Th 0.500 0.500 0.000 1
```

uncorrected formation energy: -1.0814 eV per atom
SG: P4/mmm, No. 123